Computed, not measured: a relaxed BeGaRu2 crystal at the GGA-PBE level of DFT.

a b c (Å): 3.801 3.801 16.542
angles (deg): 90.00 90.00 90.00
Space group I-42d (No. 122)
One atom of each set of equivalent atoms:
Be (0.000, 0.000, 0.000) (multiplicity 4)
Ga (0.000, 0.000, 0.500) (multiplicity 4)
Ru (0.188, 0.250, 0.125) (multiplicity 8)

Properties
**Crystal system**: tetragonal
**Formation energy from the elements**: 35 kJ per mole of atoms